Below is WAu3I after structural relaxation, with properties calculated at the GGA-PBEsol level.

The value obtained for the density is 11.80 g cm⁻³. Its total DFT energy (no corrections) is -4.179 eV/atom.

The space group is Pm-3m (No. 221) and the conventional cell measures 5.0245, 5.0245 and 5.0245 Å, with angles of 90.00, 90.00 and 90.00 degrees. The inequivalent atoms are W at (0.0000, 0.0000, 0.0000), Au at (0.0000, 0.0000, 0.5000) and I at (0.5000, 0.5000, 0.5000).